# Sm2SnN

Sm2SnN after structural relaxation (PBE-GGA, the Alexandria database).

Cell: 3.206 3.206 7.950 Å, 90.00 90.00 90.00°
Space group P4/mmm (No. 123)
Asymmetric unit:
Sm1 0.000 0.000 0.185 x2
Sn1 0.500 0.500 0.500 x1
N1 0.500 0.500 0.000 x1

Results
Energy in eV per atom: -6.0465
ΔE_f (raw) in eV per atom: -0.60